Density functional theory data (PBE) for a relaxed structure of BaPmBi4Rh2.

Unit cell a=4.7691 b=4.7691 c=10.9161 alpha=90.00 beta=90.00 gamma=90.00
With the nearest neighbours (Å) after each atom.
Space group P4/mmm (No. 123)
Asymmetric unit:
Ba 0.0000 0.0000 0.0000 x1  8 Bi 3.69
Pm 0.0000 0.0000 0.5000 x1  8 Bi 3.56, 8 Rh 3.62
Bi 0.0000 0.5000 0.2578 x4  2 Rh 2.73
Rh 0.5000 0.5000 0.3799 x2  1 Rh 2.62, 4 Bi 2.73

Values from the calculation:
- Raw total energy: -5.0230 eV per atom
- ΔH_f (0 K): -0.411 eV per atom
- DOS(E_F): 3.82 states/eV/f.u.
- M_tot: 0.000 Bohr magnetons per cell